The following is a GGA-PBE calculation of a geometry-optimized FeCoHg2 structure, from Alexandria.

Summary:
- Magnetization: 4.33 Bohr magnetons per cell
- Space group: I4/mmm, No. 139
- ΔE_f: 2.04 eV per formula unit
- Energy: -3.533 eV/atom

Lattice parameters (Å, degrees): 4.803 4.803 4.803 128.73 128.73 75.44
Positions (direct):
Hg 0.000 0.000 0.000
Fe 0.750 0.250 0.500
Co 0.250 0.750 0.500
Hg 0.500 0.500 0.000